1.
The following is a PBE calculation of a relaxed MgRePb2 crystal, from the Alexandria database.

Computed properties:
density of states at the Fermi level: 2.235 states/eV/f.u.
V: 97.1 Å³ per cell
formation enthalpy at 0 K: 632.5 meV per atom
magnetization: 0.000 μB per atom

Cell: 10.8885 10.8885 10.8885 Å, 17.07 17.07 17.07°
Last column: nearest neighbours and their distance in Å.
Atoms (fractional coordinates):
Pb  0.9867  0.9867  0.9867  3 Re 2.93, 6 Pb 3.23
Pb  0.5133  0.5133  0.5133  3 Re 2.93, 6 Pb 3.23
Mg  0.7500  0.7500  0.7500  6 Mg 3.23
Re  0.2500  0.2500  0.2500  6 Pb 2.93, 6 Re 3.23


2.
The following is a PBE calculation of a relaxed Cr2CdBr crystal, from the Alexandria database.

Computed properties:
density of states at the Fermi level: 0.909 states/eV/f.u.
V: 98.4 Å³ per cell
ΔE to the lowest computed polymorph: 0.080 eV per atom
magnetization: 0.055 μB per atom
formation energy from raw total energies: 0.33 eV per atom

Cell: 6.5764 6.5764 4.8864 Å, 85.31 85.31 27.86°
Last column: nearest neighbours and their distance in Å.
Atoms (fractional coordinates):
Br  0.4349  0.4349  0.7014  4 Cr 2.68-2.86
Cd  0.2184  0.2184  0.2588  6 Cr 2.88-2.95, 2 Cd 3.17
Cr  0.0987  0.0987  0.7848  2 Cr 2.47, 2 Br 2.68
Cr  0.7481  0.7481  0.7550  2 Cr 2.47


3.
The following is a PBE calculation of a relaxed KNbRhSe3 crystal, from the Alexandria database.

Computed properties:
density of states at the Fermi level: 4.582 states/eV/f.u.
V: 288.5 Å³ per cell
magnetization: 0.000 μB per atom
formation energy from raw total energies: -0.83 eV per atom

Cell: 3.7023 8.5055 9.9631 Å, 113.13 90.00 90.00°
Last column: nearest neighbours and their distance in Å.
Atoms (fractional coordinates):
Rh  0.2500  0.0844  0.6223  4 Se 2.48-2.63
Rh  0.7500  0.9156  0.3777  4 Se 2.48-2.63
K  0.7500  0.7487  0.7258  7 Se 3.27-3.65
K  0.2500  0.2513  0.2742  7 Se 3.27-3.65
Nb  0.2500  0.7096  0.1671  6 Se 2.58-2.74, 2 Rh 2.83
Nb  0.7500  0.2904  0.8329  6 Se 2.58-2.74, 2 Rh 2.83
Se  0.2500  0.7619  0.4401  3 Rh 2.48-2.63, 1 Nb 2.58
Se  0.7500  0.2381  0.5599  3 Rh 2.48-2.63, 1 Nb 2.58
Se  0.2500  0.5386  0.8700  3 Nb 2.72-2.74
Se  0.7500  0.4614  0.1300  3 Nb 2.72-2.74
Se  0.7500  0.9011  0.1228  1 Rh 2.49, 2 Nb 2.61
Se  0.2500  0.0989  0.8772  1 Rh 2.49, 2 Nb 2.61